A relaxed structure of CaHf3Bi, computed with PBE.

Cell lengths 5.1490, 5.1490, 5.1490 Å; angles 90.00, 90.00, 90.00 degrees
Last column: nearest neighbours and their distance in Å.
Fractional coordinates of all 5 atoms:
Ca (0.0000, 0.0000, 0.0000)  6 Hf 2.57
Hf (0.0000, 0.0000, 0.5000)  2 Ca 2.57
Hf (0.0000, 0.5000, 0.0000)  2 Ca 2.57
Hf (0.5000, 0.0000, 0.0000)  2 Ca 2.57
Bi (0.5000, 0.5000, 0.5000)  12 Hf 3.64

Properties
D(E_F)	9.8	states/eV/f.u.
calculated total energy	-0.2024	Ha/atom
ΔE_f	8.21	eV per formula unit
excess energy over the best structure of this formula in the dataset	606	meV/atom

---

A relaxed structure of BaInSn2Pt, computed with PBE.

Cell lengths 5.4340, 5.4340, 5.2356 Å; angles 90.00, 90.00, 90.00 degrees
Last column: nearest neighbours and their distance in Å.
Fractional coordinates of all 5 atoms:
Ba (0.0000, 0.0000, 0.0000)  8 Sn 3.77, 4 In 3.84
In (0.5000, 0.5000, 0.0000)  2 Pt 2.62
Sn (0.0000, 0.5000, 0.5000)  2 Pt 2.72
Sn (0.5000, 0.0000, 0.5000)  2 Pt 2.72
Pt (0.5000, 0.5000, 0.5000)  2 In 2.62, 4 Sn 2.72

Properties
D(E_F)	4.8	states/eV/f.u.
calculated total energy	-0.1481	Ha/atom
ΔE_f	-1.44	eV per formula unit

---

A relaxed structure of La2AgPb2, computed with PBE.

Cell lengths 6.4701, 6.4701, 11.6125 Å; angles 114.57, 114.57, 43.98 degrees
Last column: nearest neighbours and their distance in Å.
Fractional coordinates of all 10 atoms:
La (0.0132, 0.0132, 0.3346)  7 Pb 3.37-3.69, 4 Ag 3.38-3.75
La (0.1809, 0.1809, 0.1069)  6 Pb 3.34-3.60, 2 Ag 3.51
La (0.8191, 0.8191, 0.8931)  6 Pb 3.34-3.60, 2 Ag 3.51
La (0.9868, 0.9868, 0.6654)  7 Pb 3.37-3.69, 4 Ag 3.38-3.75
Ag (0.2885, 0.2885, 0.6616)  4 Pb 2.87-3.09
Ag (0.7115, 0.7115, 0.3384)  4 Pb 2.87-3.09
Pb (0.3513, 0.3513, 0.4306)  3 Ag 2.87-3.09, 1 Pb 3.19
Pb (0.4630, 0.4630, 0.1155)  1 Ag 2.94, 1 Pb 3.18
Pb (0.5370, 0.5370, 0.8845)  1 Ag 2.94, 1 Pb 3.18
Pb (0.6487, 0.6487, 0.5694)  3 Ag 2.87-3.09, 1 Pb 3.19

Properties
D(E_F)	4.5	states/eV/f.u.
calculated total energy	-0.1662	Ha/atom
ΔE_f	-2.49	eV per formula unit
excess energy over the best structure of this formula in the dataset	0	meV/atom

---

A relaxed structure of LiYSeBr2, computed with PBE.

Cell lengths 4.6927, 4.6927, 5.3502 Å; angles 90.00, 90.00, 90.00 degrees
Last column: nearest neighbours and their distance in Å.
Fractional coordinates of all 5 atoms:
Li (0.0000, 0.0000, 0.0000)  4 Br 2.35
Y (0.5000, 0.5000, 0.5000)  4 Se 3.32, 8 Br 3.56
Se (0.0000, 0.0000, 0.5000)  2 Li 2.68
Br (0.0000, 0.5000, 0.0000)  2 Li 2.35
Br (0.5000, 0.0000, 0.0000)  2 Li 2.35

Properties
D(E_F)	0.0	states/eV/f.u.
calculated total energy	-0.1511	Ha/atom
excess energy over the best structure of this formula in the dataset	272	meV/atom
uncorrected formation energy	-1070	meV per atom

---

A relaxed structure of RbDyBr4, computed with PBE.

Cell lengths 7.0805, 7.8197, 9.3147 Å; angles 75.64, 67.76, 89.99 degrees
Last column: nearest neighbours and their distance in Å.
Fractional coordinates of all 12 atoms:
Rb (0.2114, 0.2506, 0.4987)  4 Br 3.46-3.47
Rb (0.7886, 0.7494, 0.5013)  4 Br 3.46-3.47
Dy (0.0000, 0.5000, 0.0000)  6 Br 2.73-2.87
Dy (0.5000, 0.0000, 0.0000)  6 Br 2.73-2.87
Br (0.1248, 0.1602, 0.1113)  2 Dy 2.87
Br (0.2645, 0.6602, 0.1111)  2 Dy 2.87
Br (0.2860, 0.5518, 0.6938)  1 Dy 2.73
Br (0.4813, 0.9482, 0.3060)  1 Dy 2.73
Br (0.5187, 0.0518, 0.6940)  1 Dy 2.73
Br (0.7140, 0.4482, 0.3062)  1 Dy 2.73
Br (0.7355, 0.3398, 0.8889)  2 Dy 2.87
Br (0.8752, 0.8398, 0.8887)  2 Dy 2.87

Properties
D(E_F)	0.0	states/eV/f.u.
calculated total energy	-0.1418	Ha/atom
excess energy over the best structure of this formula in the dataset	45	meV/atom
uncorrected formation energy	-1816	meV per atom

---

A relaxed structure of AcPm6Sm3, computed with PBE.

Cell lengths 9.1222, 9.1222, 9.3108 Å; angles 90.00, 90.00, 113.79 degrees
Last column: nearest neighbours and their distance in Å.
Fractional coordinates of all 20 atoms:
Ac (0.2019, 0.7981, 0.5000)  3 Sm 3.59-3.62, 4 Pm 3.59-3.80
Ac (0.7981, 0.2019, 0.0000)  3 Sm 3.59-3.62, 4 Pm 3.59-3.80
Pm (0.0395, 0.3180, 0.6033)  5 Pm 3.39-3.63, 3 Sm 3.45-3.67
Pm (0.1772, 0.4707, 0.2723)  3 Sm 3.40-3.63, 3 Pm 3.41-3.63, 1 Ac 3.59
Pm (0.2658, 0.7342, 0.8737)  3 Sm 3.38-3.58, 3 Pm 3.39-3.53, 1 Ac 3.61
Pm (0.3180, 0.0395, 0.1033)  5 Pm 3.39-3.63, 3 Sm 3.45-3.67
Pm (0.4387, 0.5613, 0.6232)  4 Sm 3.37-3.59, 3 Pm 3.42-3.53
Pm (0.4707, 0.1772, 0.7723)  3 Sm 3.40-3.63, 3 Pm 3.41-3.63, 1 Ac 3.59
Pm (0.5293, 0.8228, 0.2723)  3 Sm 3.40-3.63, 3 Pm 3.41-3.63, 1 Ac 3.59
Pm (0.5613, 0.4387, 0.1232)  4 Sm 3.37-3.59, 3 Pm 3.42-3.53
Pm (0.6820, 0.9605, 0.6033)  5 Pm 3.39-3.63, 3 Sm 3.45-3.67
Pm (0.7342, 0.2658, 0.3737)  3 Sm 3.38-3.58, 3 Pm 3.39-3.53, 1 Ac 3.61
Pm (0.8228, 0.5293, 0.7723)  3 Sm 3.40-3.63, 3 Pm 3.41-3.63, 1 Ac 3.59
Pm (0.9605, 0.6820, 0.1033)  5 Pm 3.39-3.63, 3 Sm 3.45-3.67
Sm (0.0384, 0.9616, 0.7806)  2 Sm 3.57, 7 Pm 3.58-3.82, 1 Ac 3.62
Sm (0.2208, 0.3530, 0.9346)  7 Pm 3.37-3.67, 1 Sm 3.57, 1 Ac 3.59
Sm (0.3530, 0.2208, 0.4346)  7 Pm 3.37-3.67, 1 Sm 3.57, 1 Ac 3.59
Sm (0.6470, 0.7792, 0.9346)  7 Pm 3.37-3.67, 1 Sm 3.57, 1 Ac 3.59
Sm (0.7792, 0.6470, 0.4346)  7 Pm 3.37-3.67, 1 Sm 3.57, 1 Ac 3.59
Sm (0.9616, 0.0384, 0.2806)  2 Sm 3.57, 7 Pm 3.58-3.82, 1 Ac 3.62

Properties
D(E_F)	15.2	states/eV/f.u.
calculated total energy	-0.1670	Ha/atom
ΔE_f	1.32	eV per formula unit
excess energy over the best structure of this formula in the dataset	0	meV/atom

---

A relaxed structure of SnPd2O, computed with PBE.

Cell lengths 7.1503, 7.1503, 7.1503 Å; angles 139.45, 139.45, 58.69 degrees
Last column: nearest neighbours and their distance in Å.
Fractional coordinates of all 8 atoms:
Sn (0.0000, 0.0000, 0.0000)  4 Pd 2.73
Sn (0.7500, 0.2500, 0.5000)  4 Pd 2.73
Pd (0.2527, 0.6250, 0.1277)  2 O 2.08
Pd (0.3750, 0.5027, 0.6277)  2 O 2.08
Pd (0.4973, 0.1250, 0.8723)  2 O 2.08
Pd (0.8750, 0.7473, 0.3723)  2 O 2.08
O (0.2500, 0.7500, 0.5000)  4 Pd 2.08
O (0.5000, 0.5000, 0.0000)  4 Pd 2.08

Properties
D(E_F)	0.5	states/eV/f.u.
calculated total energy	-0.1852	Ha/atom
uncorrected formation energy	-204	meV per atom

---

A relaxed structure of CaLa2Tl, computed with PBE.

Cell lengths 11.8862, 11.8862, 11.8862 Å; angles 18.51, 18.51, 18.51 degrees
Last column: nearest neighbours and their distance in Å.
Fractional coordinates of all 4 atoms:
Ca (0.0000, 0.0000, 0.0000)  6 Ca 3.82, 6 La 3.92
La (0.2408, 0.2408, 0.2408)  3 Tl 3.41
La (0.7592, 0.7592, 0.7592)  3 Tl 3.41
Tl (0.5000, 0.5000, 0.5000)  6 La 3.41

Properties
D(E_F)	6.1	states/eV/f.u.
calculated total energy	-0.1331	Ha/atom
ΔE_f	-0.27	eV per formula unit
excess energy over the best structure of this formula in the dataset	131	meV/atom

---

A relaxed structure of Tb2TiSn, computed with PBE.

Cell lengths 4.8545, 4.8545, 4.3246 Å; angles 90.00, 90.00, 90.00 degrees
Last column: nearest neighbours and their distance in Å.
Fractional coordinates of all 4 atoms:
Tb (0.0000, 0.5000, 0.0000)  4 Sn 3.25, 4 Ti 3.25, 4 Tb 3.43
Tb (0.5000, 0.0000, 0.0000)  4 Sn 3.25, 4 Ti 3.25, 4 Tb 3.43
Ti (0.0000, 0.0000, 0.5000)  8 Tb 3.25, 4 Sn 3.43
Sn (0.5000, 0.5000, 0.5000)  8 Tb 3.25, 4 Ti 3.43

Properties
D(E_F)	5.5	states/eV/f.u.
calculated total energy	-0.2038	Ha/atom
ΔE_f	-1.02	eV per formula unit

---

A relaxed structure of ReTc8Ru2, computed with PBE.

Cell lengths 6.7215, 6.7215, 4.6302 Å; angles 101.03, 101.03, 60.25 degrees
Last column: nearest neighbours and their distance in Å.
Fractional coordinates of all 11 atoms:
Re (0.0000, 0.0000, 0.0000)  2 Ru 2.52, 6 Tc 2.52-2.67
Tc (0.2348, 0.2348, 0.0861)  2 Ru 2.58-2.65, 4 Tc 2.60-2.74, 1 Re 2.67
Tc (0.2413, 0.6248, 0.2247)  1 Re 2.52, 1 Ru 2.57, 5 Tc 2.59-2.68
Tc (0.3610, 0.3610, 0.6598)  1 Ru 2.66, 8 Tc 2.67-2.87
Tc (0.3752, 0.7587, 0.7753)  1 Re 2.52, 1 Ru 2.57, 5 Tc 2.59-2.68
Tc (0.6248, 0.2413, 0.2247)  1 Re 2.52, 1 Ru 2.57, 5 Tc 2.59-2.68
Tc (0.6390, 0.6390, 0.3402)  1 Ru 2.66, 8 Tc 2.67-2.87
Tc (0.7587, 0.3752, 0.7753)  1 Re 2.52, 1 Ru 2.57, 5 Tc 2.59-2.68
Tc (0.7652, 0.7652, 0.9139)  2 Ru 2.58-2.65, 4 Tc 2.60-2.74, 1 Re 2.67
Ru (0.1269, 0.1269, 0.5175)  1 Re 2.52, 5 Tc 2.57-2.66
Ru (0.8731, 0.8731, 0.4825)  1 Re 2.52, 5 Tc 2.57-2.66

Properties
D(E_F)	11.9	states/eV/f.u.
calculated total energy	-0.3601	Ha/atom
ΔE_f	6.14	eV per formula unit